Record 1
A relaxed DyIn6Ag6 crystal. Source: Alexandria via LeMat-Bulk, functional PBE.

The space group is Immm (No. 71) and the conventional cell measures 5.8605, 9.6849 and 9.8155 Å, with angles of 90.00, 90.00 and 90.00 degrees. The inequivalent atoms are Dy at (0.0000, 0.0000, 0.0000), In at (0.0000, 0.0000, 0.3408), In at (0.0000, 0.3449, 0.0000), In at (0.0000, 0.5000, 0.3226), Ag at (0.0000, 0.2615, 0.5000) and Ag at (0.2500, 0.2500, 0.2500).

As for the total energy: -3.078 eV/atom. The formation energy is -0.14 eV/atom. The spin magnetization is 0.00 μB per cell.

***

Record 2
A relaxed Dy5InAg2 crystal. Source: Alexandria via LeMat-Bulk, functional PBE.

The space group is I4/mcm (No. 140) and the conventional cell measures 8.0511, 8.0511 and 13.4017 Å, with angles of 90.00, 90.00 and 90.00 degrees. The inequivalent atoms are Dy at (0.0000, 0.0000, 0.0000), Dy at (0.1554, 0.3446, 0.1498), In at (0.0000, 0.0000, 0.2500) and Ag at (0.1332, 0.3668, 0.5000).

As for the total energy: -4.186 eV/atom. The formation energy is -0.25 eV/atom. The spin magnetization is 0.00 μB per cell.

***

Record 3
A relaxed Dy2In3Ag crystal. Source: Alexandria via LeMat-Bulk, functional PBE.

The space group is Fmmm (No. 69) and the conventional cell measures 7.0851, 9.8019 and 16.9839 Å, with angles of 90.00, 90.00 and 90.00 degrees. The inequivalent atoms are Dy at (0.2474, 0.0000, 0.0000), Dy at (0.2500, 0.2500, 0.2500), In at (0.0000, 0.0000, 0.3310), In at (0.0000, 0.2446, 0.0853) and Ag at (0.0000, 0.0000, 0.1678).

For the polymorph energy (0 for the lowest one), the calculation gives 5 meV/atom. As for the total energy: -3.787 eV/atom. The formation energy is -0.41 eV/atom. The spin magnetization is 0.00 μB per cell.

***

Record 4
A relaxed Dy5In2Ag crystal. Source: Alexandria via LeMat-Bulk, functional PBE.

The space group is Fmm2 (No. 42) and the conventional cell measures 9.0124, 9.7667 and 9.7666 Å, with angles of 90.00, 90.00 and 90.00 degrees. The inequivalent atoms are Dy at (0.0000, 0.0000, 0.0000), Dy at (0.2491, 0.0000, 0.7495), Dy at (0.2500, 0.2500, 0.4995), In at (0.0000, 0.2495, 0.2497) and Ag at (0.0000, 0.0000, 0.4984).

As for the total energy: -4.174 eV/atom. The formation energy is -0.26 eV/atom. The spin magnetization is 0.05 μB per cell.

***

Record 5
A relaxed DyInAg3 crystal. Source: Alexandria via LeMat-Bulk, functional PBE.

The space group is Pnma (No. 62) and the conventional cell measures 9.3717, 4.3880 and 10.8593 Å, with angles of 90.00, 90.00 and 90.00 degrees. The inequivalent atoms are Dy at (0.1780, 0.2500, 0.0076), In at (0.0753, 0.2500, 0.3814), Ag at (0.0789, 0.7500, 0.1850), Ag at (0.1320, 0.7500, 0.8129) and Ag at (0.1335, 0.2500, 0.6361).

As for the total energy: -3.328 eV/atom. The formation energy is -0.15 eV/atom. The spin magnetization is 0.00 μB per cell.

***

Record 6
A relaxed Dy2In2Ag crystal. Source: Alexandria via LeMat-Bulk, functional PBE.

The space group is C2/m (No. 12) and the conventional cell measures 11.1655, 4.7131 and 10.8569 Å, with angles of 90.00, 115.55 and 90.00 degrees. The inequivalent atoms are Dy at (0.0192, 0.0000, 0.3362), Dy at (0.1735, 0.0000, 0.0993), In at (0.0347, 0.5000, 0.8811), In at (0.1422, 0.5000, 0.5750) and Ag at (0.2203, 0.5000, 0.3396).

For the polymorph energy (0 for the lowest one), the calculation gives 12 meV/atom. As for the total energy: -3.899 eV/atom. The formation energy is -0.39 eV/atom. The spin magnetization is 0.00 μB per cell.

***

Record 7
A relaxed Dy3In2Ag4 crystal. Source: Alexandria via LeMat-Bulk, functional PBE.

The space group is C2/m (No. 12) and the conventional cell measures 10.8424, 4.8441 and 9.0797 Å, with angles of 90.00, 119.75 and 90.00 degrees. The inequivalent atoms are Dy at (0.0000, 0.0000, 0.0000), Dy at (0.1609, 0.5000, 0.6753), In at (0.1228, 0.5000, 0.2891), Ag at (0.0645, 0.0000, 0.3985) and Ag at (0.2204, 0.5000, 0.0540).

As for the total energy: -3.748 eV/atom. The formation energy is -0.34 eV/atom. The spin magnetization is 0.00 μB per cell.

***

Record 8
A relaxed DyIn3Ag crystal. Source: Alexandria via LeMat-Bulk, functional PBE.

The space group is Pmmn (No. 59, origin choice 2) and the conventional cell measures 4.6257, 7.3927 and 7.2681 Å, with angles of 90.00, 90.00 and 90.00 degrees. The inequivalent atoms are Dy at (0.2500, 0.2500, 0.2435), In at (0.2500, 0.0481, 0.7120), In at (0.2500, 0.7500, 0.0605) and Ag at (0.2500, 0.7500, 0.4521).

As for the total energy: -3.314 eV/atom. The formation energy is -0.18 eV/atom. The spin magnetization is 0.00 μB per cell.

***

Record 9
A relaxed Dy4InAg crystal. Source: Alexandria via LeMat-Bulk, functional PBE.

The space group is P2_1/c (No. 14) and the conventional cell measures 6.1618, 9.3689 and 6.0734 Å, with angles of 90.00, 107.90 and 90.00 degrees. The inequivalent atoms are Dy at (0.0886, 0.1647, 0.1002), Dy at (0.4027, 0.6599, 0.9231), In at (0.5000, 0.0000, 0.0000) and Ag at (0.0000, 0.0000, 0.5000).

As for the total energy: -4.106 eV/atom. The formation energy is -0.11 eV/atom. The spin magnetization is 0.00 μB per cell.

***

Record 10
A relaxed Dy12In5Ag2 crystal. Source: Alexandria via LeMat-Bulk, functional PBE.

The space group is C2/m (No. 12) and the conventional cell measures 13.1285, 9.5218 and 8.5516 Å, with angles of 90.00, 91.00 and 90.00 degrees. The inequivalent atoms are Dy at (0.0745, 0.0000, 0.2381), Dy at (0.1003, 0.5000, 0.6278), Dy at (0.1085, 0.2019, 0.8852), Dy at (0.1497, 0.3201, 0.2746), In at (0.0000, 0.5000, 0.0000), In at (0.1648, 0.0000, 0.5765), In at (0.2287, 0.5000, 0.9497) and Ag at (0.0000, 0.2148, 0.5000).

As for the total energy: -4.118 eV/atom. The formation energy is -0.19 eV/atom. The spin magnetization is 0.00 μB per cell.

***

Record 11
A relaxed Dy2In2Ag crystal. Source: Alexandria via LeMat-Bulk, functional PBE.

The space group is Amm2 (No. 38) and the conventional cell measures 3.4846, 4.7328 and 15.0480 Å, with angles of 90.00, 90.00 and 90.00 degrees. The inequivalent atoms are Dy at (0.0000, 0.0000, 0.0000), Dy at (0.0000, 0.0000, 0.2293), In at (0.5000, 0.0000, 0.6116), In at (0.5000, 0.0000, 0.8166) and Ag at (0.5000, 0.0000, 0.4165).

For the polymorph energy (0 for the lowest one), the calculation gives 0 meV/atom. As for the total energy: -3.911 eV/atom. The formation energy is -0.40 eV/atom. The spin magnetization is 0.00 μB per cell.

***

Record 12
A relaxed Dy3In2Ag crystal. Source: Alexandria via LeMat-Bulk, functional PBE.

The space group is P4/mmm (No. 123) and the conventional cell measures 3.5690, 3.5690 and 12.1041 Å, with angles of 90.00, 90.00 and 90.00 degrees. The inequivalent atoms are Dy at (0.0000, 0.0000, 0.0000), Dy at (0.0000, 0.0000, 0.3463), In at (0.5000, 0.5000, 0.1743) and Ag at (0.5000, 0.5000, 0.5000).

As for the total energy: -4.115 eV/atom. The formation energy is -0.43 eV/atom. The spin magnetization is 0.00 μB per cell.

***

Record 13
A relaxed Dy6InAg crystal. Source: Alexandria via LeMat-Bulk, functional PBE.

The space group is I4/mmm (No. 139) and the conventional cell measures 5.0510, 5.0510 and 17.9686 Å, with angles of 90.00, 90.00 and 90.00 degrees. The inequivalent atoms are Dy at (0.0000, 0.0000, 0.2493), Dy at (0.0000, 0.5000, 0.1117), In at (0.0000, 0.0000, 0.0000) and Ag at (0.0000, 0.0000, 0.5000).

For the polymorph energy (0 for the lowest one), the calculation gives 0 meV/atom. As for the total energy: -4.327 eV/atom. The formation energy is -0.18 eV/atom. The spin magnetization is 0.00 μB per cell.

***

Record 14
A relaxed Dy4InAg3 crystal. Source: Alexandria via LeMat-Bulk, functional PBE.

The space group is R-3m (No. 166, hexagonal axes) and the conventional cell measures 5.1874, 5.1874 and 25.4721 Å, with angles of 90.00, 90.00 and 120.00 degrees. The inequivalent atoms are Dy at (0.0000, 0.0000, 0.1213), Dy at (0.0000, 0.0000, 0.3719), In at (0.0000, 0.0000, 0.5000), Ag at (0.0000, 0.0000, 0.0000) and Ag at (0.0000, 0.0000, 0.2463).

For the polymorph energy (0 for the lowest one), the calculation gives 0 meV/atom. As for the total energy: -4.069 eV/atom. The formation energy is -0.36 eV/atom. The spin magnetization is 0.00 μB per cell.

***

Record 15
A relaxed Dy2InAg3 crystal. Source: Alexandria via LeMat-Bulk, functional PBE.

The space group is Fmmm (No. 69) and the conventional cell measures 6.6534, 9.6791 and 16.9469 Å, with angles of 90.00, 90.00 and 90.00 degrees. The inequivalent atoms are Dy at (0.2452, 0.0000, 0.0000), Dy at (0.2500, 0.2500, 0.2500), In at (0.0000, 0.0000, 0.3337), Ag at (0.0000, 0.0000, 0.1670) and Ag at (0.0000, 0.2496, 0.0825).

For the polymorph energy (0 for the lowest one), the calculation gives 0 meV/atom. As for the total energy: -3.726 eV/atom. The formation energy is -0.31 eV/atom. The spin magnetization is 0.00 μB per cell.

***

Record 16
A relaxed DyIn6Ag crystal. Source: Alexandria via LeMat-Bulk, functional PBE.

The space group is Cmmm (No. 65) and the conventional cell measures 7.7270, 10.7650 and 4.8188 Å, with angles of 90.00, 90.00 and 90.00 degrees. The inequivalent atoms are Dy at (0.0000, 0.0000, 0.0000), In at (0.0000, 0.2156, 0.5000), In at (0.2052, 0.5000, 0.5000), In at (0.2500, 0.2500, 0.0000) and Ag at (0.0000, 0.5000, 0.0000).

As for the total energy: -3.124 eV/atom. The formation energy is -0.14 eV/atom. The spin magnetization is 0.00 μB per cell.

***

Record 17
A relaxed Dy4InAg7 crystal. Source: Alexandria via LeMat-Bulk, functional PBE.

The space group is C2/m (No. 12) and the conventional cell measures 14.4016, 5.1641 and 8.8766 Å, with angles of 90.00, 121.43 and 90.00 degrees. The inequivalent atoms are Dy at (0.0628, 0.0000, 0.2337), Dy at (0.2341, 0.0000, 0.7430), In at (0.0000, 0.5000, 0.5000), Ag at (0.0000, 0.0000, 0.5000), Ag at (0.0674, 0.5000, 0.8976), Ag at (0.1967, 0.0000, 0.0491) and Ag at (0.1975, 0.5000, 0.5133).

As for the total energy: -3.571 eV/atom. The formation energy is -0.15 eV/atom. The spin magnetization is 0.00 μB per cell.

***

Record 18
A relaxed Dy4In3Ag crystal. Source: Alexandria via LeMat-Bulk, functional PBE.

The space group is Pmm2 (No. 25) and the conventional cell measures 3.7713, 4.7976 and 11.8625 Å, with angles of 90.00, 90.00 and 90.00 degrees. The inequivalent atoms are Dy at (0.0000, 0.0000, 0.0000), Dy at (0.0000, 0.5000, 0.2945), Dy at (0.5000, 0.0000, 0.4815), Dy at (0.5000, 0.5000, 0.8031), In at (0.0000, 0.0000, 0.7240), In at (0.0000, 0.5000, 0.5649), In at (0.5000, 0.5000, 0.0695) and Ag at (0.5000, 0.0000, 0.2217).

For the polymorph energy (0 for the lowest one), the calculation gives 49 meV/atom. As for the total energy: -4.070 eV/atom. The formation energy is -0.39 eV/atom. The spin magnetization is 0.00 μB per cell.

***

Record 19
A relaxed Dy4InAg3 crystal. Source: Alexandria via LeMat-Bulk, functional PBE.

The space group is Pmm2 (No. 25) and the conventional cell measures 3.6887, 4.8361 and 11.4023 Å, with angles of 90.00, 90.00 and 90.00 degrees. The inequivalent atoms are Dy at (0.0000, 0.0000, 0.0000), Dy at (0.0000, 0.5000, 0.2814), Dy at (0.5000, 0.0000, 0.4818), Dy at (0.5000, 0.5000, 0.7960), In at (0.0000, 0.0000, 0.7179), Ag at (0.0000, 0.5000, 0.5581), Ag at (0.5000, 0.0000, 0.2170) and Ag at (0.5000, 0.5000, 0.0643).

For the polymorph energy (0 for the lowest one), the calculation gives 45 meV/atom. As for the total energy: -4.024 eV/atom. The formation energy is -0.31 eV/atom. The spin magnetization is 0.00 μB per cell.

***

Record 20
A relaxed DyInAg2 crystal. Source: Alexandria via LeMat-Bulk, functional PBE.

The space group is P4/mmm (No. 123) and the conventional cell measures 3.7401, 3.7401 and 6.4928 Å, with angles of 90.00, 90.00 and 90.00 degrees. The inequivalent atoms are Dy at (0.0000, 0.0000, 0.0000), In at (0.0000, 0.0000, 0.5000) and Ag at (0.5000, 0.5000, 0.2464).

For the polymorph energy (0 for the lowest one), the calculation gives 152 meV/atom. As for the total energy: -3.471 eV/atom. The formation energy is -0.21 eV/atom. The spin magnetization is 0.00 μB per cell.